No. 1
! HfBe2AlTl, relaxed, DFT GGA-PBE; values from VASP
&SYSTEM
  ibrav = 0, nat = 5, ntyp = 4
/
ATOMIC_SPECIES
Be 9.01 Be.upf
Tl 204.38 Tl.upf
Hf 178.49 Hf.upf
Al 26.98 Al.upf
ATOMIC_POSITIONS crystal
Be 0.000 0.000 0.500
Be 0.500 0.000 0.000
Tl 0.500 0.500 0.500
Hf 0.000 0.000 0.000
Al 0.000 0.500 0.000
CELL_PARAMETERS angstrom
-2.617 -0.096 -4.136
-2.109 -4.740 1.444
-3.667 2.321 2.266
! SG: No. 123
! E_form: 1.350 eV per atom



No. 2
! MnCo5Ni6, relaxed, DFT GGA-PBE; values from VASP
&SYSTEM
  ibrav = 0, nat = 24, ntyp = 3
/
ATOMIC_SPECIES
Ni 58.69 Ni.upf
Mn 54.94 Mn.upf
Co 58.93 Co.upf
ATOMIC_POSITIONS crystal
Ni 0.687 0.000 0.082
Ni 0.000 0.687 0.082
Ni 0.313 0.313 0.082
Ni 0.313 0.000 0.582
Ni 0.000 0.313 0.582
Ni 0.687 0.687 0.582
Ni 0.000 0.687 0.418
Ni 0.687 0.000 0.418
Ni 0.313 0.313 0.418
Ni 0.000 0.313 0.918
Ni 0.313 0.000 0.918
Ni 0.687 0.687 0.918
Mn 0.000 0.000 0.250
Mn 0.000 0.000 0.750
Co 0.667 0.333 0.000
Co 0.333 0.667 0.500
Co 0.333 0.667 0.000
Co 0.667 0.333 0.500
Co 0.375 0.000 0.250
Co 0.000 0.375 0.250
Co 0.625 0.625 0.250
Co 0.625 0.000 0.750
Co 0.000 0.625 0.750
Co 0.375 0.375 0.750
CELL_PARAMETERS angstrom
6.754 0.000 0.000
-3.377 5.849 0.000
0.000 0.000 7.093
! SG: No. 193
! E_form: 0.190 eV per atom



No. 3
! NaY2Ru, relaxed, DFT GGA-PBE; values from VASP
&SYSTEM
  ibrav = 0, nat = 4, ntyp = 3
/
ATOMIC_SPECIES
Y 88.91 Y.upf
Ru 101.07 Ru.upf
Na 22.99 Na.upf
ATOMIC_POSITIONS crystal
Y 0.000 0.000 0.825
Y 0.000 0.000 0.175
Ru 0.500 0.500 0.000
Na 0.500 0.500 0.500
CELL_PARAMETERS angstrom
-1.086 -1.805 2.697
1.530 -2.794 -1.253
7.873 2.221 4.657
! SG: No. 123
! E_form: -0.197 eV per atom



No. 4
! Y12TlGa6, relaxed, DFT GGA-PBE; values from VASP
&SYSTEM
  ibrav = 0, nat = 19, ntyp = 3
/
ATOMIC_SPECIES
Y 88.91 Y.upf
Tl 204.38 Tl.upf
Ga 69.72 Ga.upf
ATOMIC_POSITIONS crystal
Y 0.294 0.105 0.811
Y 0.294 0.484 0.189
Y 0.706 0.516 0.811
Y 0.706 0.895 0.189
Y 0.105 0.811 0.294
Y 0.484 0.189 0.294
Y 0.516 0.811 0.706
Y 0.895 0.189 0.706
Y 0.811 0.294 0.105
Y 0.189 0.294 0.484
Y 0.811 0.706 0.516
Y 0.189 0.706 0.895
Tl 0.000 0.000 0.000
Ga 0.378 0.500 0.878
Ga 0.622 0.500 0.122
Ga 0.500 0.878 0.378
Ga 0.500 0.122 0.622
Ga 0.878 0.378 0.500
Ga 0.122 0.622 0.500
CELL_PARAMETERS angstrom
-1.964 -4.479 -7.266
8.574 -0.711 1.640
-4.543 -3.247 6.748
! SG: No. 204
! E_form: -0.416 eV per atom



No. 5
! K3Hg2Pb9, relaxed, DFT GGA-PBE; values from VASP
&SYSTEM
  ibrav = 0, nat = 14, ntyp = 3
/
ATOMIC_SPECIES
K 39.10 K.upf
Hg 200.59 Hg.upf
Pb 207.20 Pb.upf
ATOMIC_POSITIONS crystal
K 0.000 0.000 0.000
K 0.710 0.290 0.290
K 0.290 0.710 0.710
Hg 0.500 0.345 0.655
Hg 0.500 0.655 0.345
Pb 0.000 0.500 0.500
Pb 0.627 0.013 0.733
Pb 0.373 0.987 0.267
Pb 0.627 0.733 0.013
Pb 0.373 0.267 0.987
Pb 0.843 0.867 0.447
Pb 0.157 0.133 0.553
Pb 0.843 0.447 0.867
Pb 0.157 0.553 0.133
CELL_PARAMETERS angstrom
5.005 0.000 1.344
2.000 9.413 2.543
0.011 -0.247 9.950
! SG: No. 71
! E_form: -0.105 eV per atom



No. 6
! NbSbIN2, relaxed, DFT GGA-PBE; values from VASP
&SYSTEM
  ibrav = 0, nat = 5, ntyp = 4
/
ATOMIC_SPECIES
I 126.90 I.upf
Sb 121.76 Sb.upf
Nb 92.91 Nb.upf
N 14.01 N.upf
ATOMIC_POSITIONS crystal
I 0.000 0.000 0.500
Sb 0.000 0.000 0.000
Nb 0.500 0.500 0.500
N 0.000 0.500 0.000
N 0.500 0.000 0.000
CELL_PARAMETERS angstrom
4.112 0.000 0.000
0.000 4.112 0.000
0.000 0.000 6.300
! SG: No. 123
! formation energy (no corrections): 38.7 kcal/mol of atoms
! energy above the lowest structure with this stoichiometry: 907 meV per atom



No. 7
! YEr2Lu, relaxed, DFT GGA-PBE; values from VASP
&SYSTEM
  ibrav = 0, nat = 4, ntyp = 3
/
ATOMIC_SPECIES
Y 88.91 Y.upf
Lu 174.97 Lu.upf
Er 167.26 Er.upf
ATOMIC_POSITIONS crystal
Y 0.500 0.500 0.500
Lu 0.000 0.000 0.000
Er 0.749 0.749 0.753
Er 0.251 0.251 0.247
CELL_PARAMETERS angstrom
3.515 0.000 0.000
1.757 3.044 0.000
1.757 1.015 11.442
! SG: No. 166
! E_form: 0.031 eV per atom
! energy above the lowest structure with this stoichiometry: 2 meV per atom



No. 8
! Pu2VPd, relaxed, DFT GGA-PBE; values from VASP
&SYSTEM
  ibrav = 0, nat = 4, ntyp = 3
/
ATOMIC_SPECIES
V 50.94 V.upf
Pd 106.42 Pd.upf
Pu 244.00 Pu.upf
ATOMIC_POSITIONS crystal
V 0.500 0.500 0.500
Pd 0.500 0.000 0.000
Pu 0.000 0.000 0.500
Pu 0.000 0.500 0.000
CELL_PARAMETERS angstrom
-2.686 1.202 0.349
-2.020 -3.588 -3.197
-0.875 -3.136 4.072
! SG: No. 123
! E_form: 0.053 eV per atom
! energy above the lowest structure with this stoichiometry: 0 meV per atom



No. 9
! LiLuSc, relaxed, DFT GGA-PBE; values from VASP
&SYSTEM
  ibrav = 0, nat = 3, ntyp = 3
/
ATOMIC_SPECIES
Sc 44.96 Sc.upf
Lu 174.97 Lu.upf
Li 6.94 Li.upf
ATOMIC_POSITIONS crystal
Sc 0.321 0.321 0.642
Lu 0.006 0.006 0.013
Li 0.673 0.673 0.345
CELL_PARAMETERS angstrom
-3.104 0.559 -1.415
0.655 -2.412 -2.388
-1.182 -3.299 5.510
! SG: No. 107
! E_form: 0.125 eV per atom
! energy above the lowest structure with this stoichiometry: 0 meV per atom



No. 10
! Rb2Ba2PaO6, relaxed, DFT GGA-PBE; values from VASP
&SYSTEM
  ibrav = 0, nat = 11, ntyp = 4
/
ATOMIC_SPECIES
Rb 85.47 Rb.upf
Ba 137.33 Ba.upf
Pa 231.04 Pa.upf
O 16.00 O.upf
ATOMIC_POSITIONS crystal
Rb 0.839 0.161 0.000
Rb 0.161 0.839 0.000
Ba 0.338 0.662 0.500
Ba 0.662 0.338 0.500
Pa 0.000 0.000 0.500
O 0.792 0.792 0.683
O 0.042 0.327 0.670
O 0.208 0.208 0.317
O 0.327 0.042 0.670
O 0.958 0.673 0.330
O 0.673 0.958 0.330
CELL_PARAMETERS angstrom
-3.042 -3.865 -4.475
0.790 -2.320 6.182
-5.238 4.445 1.239
! SG: No. 12
! formation energy (no corrections): -57.1 kcal/mol of atoms



No. 11
! LiTbS2O8, relaxed, DFT GGA-PBE; values from VASP
&SYSTEM
  ibrav = 0, nat = 12, ntyp = 4
/
ATOMIC_SPECIES
Li 6.94 Li.upf
Tb 158.93 Tb.upf
S 32.06 S.upf
O 16.00 O.upf
ATOMIC_POSITIONS crystal
Li 0.000 0.000 0.000
Tb 0.000 0.000 0.500
S 0.667 0.333 0.197
S 0.333 0.667 0.803
O 0.333 0.667 0.020
O 0.366 0.184 0.279
O 0.816 0.182 0.279
O 0.667 0.333 0.980
O 0.184 0.818 0.721
O 0.634 0.816 0.721
O 0.182 0.366 0.721
O 0.818 0.634 0.279
CELL_PARAMETERS angstrom
-2.101 -0.302 -4.944
0.498 -4.447 2.988
-6.068 1.011 2.516
! SG: No. 164
! formation energy (no corrections): -45.8 kcal/mol of atoms
! energy above the lowest structure with this stoichiometry: 0 meV per atom



No. 12
! Sc2Re2Se, relaxed, DFT GGA-PBE; values from VASP
&SYSTEM
  ibrav = 0, nat = 5, ntyp = 3
/
ATOMIC_SPECIES
Sc 44.96 Sc.upf
Re 186.21 Re.upf
Se 78.96 Se.upf
ATOMIC_POSITIONS crystal
Sc 0.250 0.750 0.500
Sc 0.750 0.250 0.500
Re 0.337 0.337 0.000
Re 0.663 0.663 0.000
Se 0.000 0.000 0.000
CELL_PARAMETERS angstrom
-2.662 2.662 3.698
2.662 -2.662 3.698
2.662 2.662 -3.698
! SG: No. 139
! formation energy (no corrections): 9.9 kcal/mol of atoms



| no. | raw total energy (eV/atom) | density (kg/m³) | spin magnetization (μB/f.u.) |
| --- | --- | --- | --- |
| 1 | -3.3527 | 5505 | 0.00 |
| 2 | -6.4260 | 8319 | 15.43 |
| 3 | -6.0782 | 4546 | 0.00 |
| 4 | -5.5787 | 5424 | 0.00 |
| 5 | -2.7669 | 8400 | 0.00 |
| 6 | -4.8025 | 5762 | 3.01 |
| 7 | -4.9964 | 8117 | 0.00 |
| 8 | -10.6907 | 13309 | 9.69 |
| 9 | -4.1309 | 5206 | 0.56 |
| 10 | -6.5682 | 4935 | 1.13 |
| 11 | -6.5247 | 3568 | 0.00 |
| 12 | -7.7813 | 8574 | 0.00 |